First-principles (PBE) data for ScMnP3 after structural relaxation, as listed in Alexandria via LeMat-Bulk.

Calculated values
- VASP energy: -0.2327 Ha/atom
- Calculated volume: 88.74 Å³/f.u.
- Symmetry: Pm-3m

Structure (extended XYZ):
```
5
Lattice="-1.6869 -1.9785 3.6243 -1.9599 -3.0623 -2.5839 3.6344 -2.5697 0.2888" Properties=species:S:1:pos:R:3 pbc="T T T"
P -0.8435 -0.9893 1.8121
P -0.9799 -1.5311 -1.2920
P 1.8172 -1.2848 0.1444
Mn 0.0000 0.0000 0.0000
Sc -0.0062 -3.8053 0.6646
```

First-principles (PBE) data for ZnIn2Ga2Pt5 after structural relaxation, as listed in Alexandria via LeMat-Bulk.

Calculated values
- VASP energy: -0.1744 Ha/atom
- Calculated volume: 174.34 Å³/f.u.
- Symmetry: P4/mbm

Structure (extended XYZ):
```
20
Lattice="-0.6885 -2.8010 -0.1236 2.2190 -0.0706 -10.7630 10.4393 -2.6617 2.1697" Properties=species:S:1:pos:R:3 pbc="T T T"
Pt 8.7016 -3.6457 0.4303
Pt 1.3012 -1.7409 -1.5130
Pt 7.9271 -3.2006 -5.3427
Pt 4.0427 -2.3327 -3.3741
Pt 5.0485 -2.4488 -6.3463
Pt 6.9213 -3.0845 -2.3706
Pt 10.6686 -3.7924 -7.2038
Pt 0.7653 -1.4358 -5.4433
Pt 4.8754 -2.7314 1.0231
Pt 3.2682 -1.8876 -9.1472
Zn 6.3291 -1.3661 -4.2966
Zn 0.0000 0.0000 0.0000
In 9.5695 -2.2698 -1.8681
In 3.0888 -0.4625 -6.7252
In 8.7240 -1.8066 -7.6560
In 3.9343 -0.9257 -0.9373
Ga 10.3666 -2.3243 -5.0717
Ga 5.6181 -1.0085 -8.4423
Ga 2.2917 -0.4079 -3.5215
Ga 7.0401 -1.7238 -0.1510
```

First-principles (PBE) data for RbNaSCl2 after structural relaxation, as listed in Alexandria via LeMat-Bulk.

Calculated values
- Raw formation energy: -0.436 eV per atom
- Calculated volume: 229.66 Å³/f.u.
- Symmetry: P4/mmm

Structure (extended XYZ):
```
5
Lattice="6.1787 0.0000 0.0000 0.0000 6.1787 0.0000 0.0000 0.0000 6.0159" Properties=species:S:1:pos:R:3 pbc="T T T"
Cl 0.0000 3.0893 0.0000
Cl 3.0893 0.0000 0.0000
S 0.0000 0.0000 3.0080
Rb 0.0000 0.0000 0.0000
Na 3.0893 3.0893 3.0080
```

First-principles (PBE) data for TmPaW4 after structural relaxation, as listed in Alexandria via LeMat-Bulk.

Calculated values
- VASP energy: -0.3991 Ha/atom
- Calculated volume: 119.01 Å³/f.u.
- Symmetry: F-43m

Structure (extended XYZ):
```
6
Lattice="5.5211 0.0000 0.0000 2.7606 4.7814 0.0000 2.7606 1.5938 4.5080" Properties=species:S:1:pos:R:3 pbc="T T T"
W 5.5211 3.1876 0.5665
W 5.5211 1.5967 2.8165
W 4.1433 3.9831 2.8165
W 6.8989 3.9831 2.8165
Pa 2.7606 1.5938 1.1270
Tm 0.0000 0.0000 0.0000
```

First-principles (PBE) data for Sc2SiRh after structural relaxation, as listed in Alexandria via LeMat-Bulk.

Calculated values
- Raw formation energy: -0.603 eV per atom
- Calculated volume: 65.56 Å³/f.u.
- Symmetry: F-43m

Structure (extended XYZ):
```
4
Lattice="4.5260 0.0000 0.0000 2.2630 3.9196 0.0000 2.2630 1.3065 3.6954" Properties=species:S:1:pos:R:3 pbc="T T T"
Sc 0.0000 0.0000 0.0000
Sc 6.7889 3.9196 2.7716
Rh 4.5260 2.6131 1.8477
Si 2.2630 1.3065 0.9239
```

First-principles (PBE) data for Pm6Ga5Hg after structural relaxation, as listed in Alexandria via LeMat-Bulk.

Calculated values
- VASP energy: -0.1546 Ha/atom
- Calculated volume: 303.86 Å³/f.u.
- Symmetry: Cmmm

Structure (extended XYZ):
```
12
Lattice="4.9741 -0.0297 1.6577 0.0396 7.3777 0.0132 0.0035 -0.0149 8.2810" Properties=species:S:1:pos:R:3 pbc="T T T"
Pm 2.5166 5.4820 0.8387
Pm 2.4972 1.8660 0.8322
Pm 0.8544 1.8446 5.7613
Pm 0.8740 5.5034 5.7678
Pm 4.1432 1.8297 4.1841
Pm 4.1629 5.4886 4.1906
Ga 3.3001 -0.0297 6.6809
Ga 3.3323 3.6592 6.6503
Ga 1.6776 -0.0149 3.2578
Ga 1.6850 3.6740 3.3016
Ga 0.0198 3.6889 0.0066
Hg 0.0000 0.0000 0.0000
```

First-principles (PBE) data for ZrAsSe2Cl after structural relaxation, as listed in Alexandria via LeMat-Bulk.

Calculated values
- Raw formation energy: -0.132 eV per atom
- Calculated volume: 142.66 Å³/f.u.
- Symmetry: P4/mmm

Structure (extended XYZ):
```
5
Lattice="-3.0323 -2.9809 2.8549 3.1573 -3.9569 -0.7780 2.8230 1.3797 4.4389" Properties=species:S:1:pos:R:3 pbc="T T T"
Zr 0.0000 0.0000 0.0000
Se 1.5787 -1.9785 -0.3890
Se -1.5161 -1.4904 1.4275
Cl 1.4740 -2.7790 3.2579
As 1.4115 0.6899 2.2195
```

First-principles (PBE) data for InPdBr6 after structural relaxation, as listed in Alexandria via LeMat-Bulk.

Calculated values
- Raw formation energy: -0.427 eV per atom
- Calculated volume: 259.13 Å³/f.u.
- Symmetry: C2/m

Structure (extended XYZ):
```
8
Lattice="6.5966 0.6019 -1.5059 -2.5451 5.5535 -3.2790 0.3151 -0.2753 6.9206" Properties=species:S:1:pos:R:3 pbc="T T T"
Br -0.1140 4.1673 2.4135
Br 2.7617 5.1330 0.0364
Br 0.7577 2.4734 -0.9215
Br 1.6049 0.7470 2.0994
Br 3.6089 3.4066 3.0573
Br 4.4806 1.7127 -0.2777
In 0.0000 0.0000 0.0000
Pd 2.1833 2.9400 1.0679
```